Entry 1:
Material: CrNiS
Method: DFT, GGA-PBE
State: relaxed

Calculated values
energy relative to the lowest polymorph listed for this composition = 0.0276 eV per atom
formation energy from raw total energies = -0.08 eV per atom
SG = Amm2 (38)
electronic total energy = -6.5891 eV per atom

```
CrNiS
1.0
2.8841 0.0000 0.0000
0.0000 2.9997 0.0000
0.0000 0.0000 8.4650
Ni S Cr
2 2 2
Cartesian
1.4421 1.4998 8.0907
1.4421 0.0000 3.8582
1.4421 0.0000 1.2102
1.4421 1.4998 5.4426
0.0000 0.0000 6.3316
0.0000 1.4998 2.0992
```

=====

Entry 2:
Material: Pr5YEr3
Method: DFT, GGA-PBE
State: relaxed

Calculated values
energy relative to the lowest polymorph listed for this composition = 0.0000 eV per atom
energy of formation = 0.28 eV per atom
SG = C2/c (15)
electronic total energy = -4.6160 eV per atom

```
Pr5YEr3
1.0
-7.2160 -4.8387 -6.7667
-2.4417 -2.7433 -10.3820
1.3082 -10.8043 -4.5348
Pr Er Y
10 6 2
Cartesian
-1.9595 -6.8100 -4.5901
-3.3908 -11.6937 -12.3215
-6.3900 -11.5763 -17.0935
-6.4895 -9.3362 -12.0736
-1.8600 -9.0501 -9.6100
0.3624 -11.4802 -8.1204
-4.1503 -4.3660 -6.1036
-4.9588 -6.6926 -9.3620
-4.1992 -14.0203 -15.5800
-8.7119 -6.9061 -13.5631
-6.9699 -12.9827 -13.6433
0.0000 0.0000 0.0000
0.6541 -5.4022 -2.2674
-4.9773 -6.4189 -13.3799
-3.3722 -11.9674 -8.3037
-1.3797 -5.4036 -8.0403
-2.6200 -5.6662 -11.1330
-5.7295 -12.7201 -10.5506
```

=====

Entry 3:
Material: Mg8Tl3In2
Method: DFT, GGA-PBE
State: relaxed

Calculated values
energy relative to the lowest polymorph listed for this composition = 0.0000 eV per atom
energy of formation = 0.00 eV per atom
SG = C2/m (12)
electronic total energy = -1.9508 eV per atom

```
Mg8Tl3In2
1.0
-4.5948 -1.8815 2.2326
1.5670 -0.4380 7.8145
-3.9761 6.5342 2.2820
Tl Mg In
3 8 2
Cartesian
-2.2974 -0.9407 1.1163
-2.6032 4.8074 3.6523
0.1941 1.2889 6.4442
-5.3410 2.5138 3.4034
-1.6629 1.7010 8.9258
-4.7025 1.1130 6.1142
-2.3014 3.1018 6.2149
-2.4870 -1.0760 6.2519
-4.5169 5.2908 6.0773
-4.6773 -0.8208 3.6520
-2.3266 5.0356 8.6772
-2.4926 1.1430 3.9380
-4.5113 3.0718 8.3912
```

=====

Entry 4:
Material: LaSb2Te
Method: DFT, GGA-PBE
State: relaxed

Calculated values
formation energy from raw total energies = -0.27 eV per atom
SG = R-3m (166)
electronic total energy = -4.3462 eV per atom

```
LaSb2Te
1.0
-4.0401 0.4833 6.3958
-7.0268 -0.2411 2.8333
-4.6001 -3.8452 4.6385
Te Sb La
1 2 1
Cartesian
-3.9168 -0.9007 3.4669
-15.6452 -3.5980 13.8483
-7.8553 -1.8065 6.9531
-11.7503 -2.7022 10.4007
```